Entry 1:
Entry from Alexandria via LeMat-Bulk: a relaxed structure of PaCrO6 (PBE with a Hubbard U).

a = 4.265 Å, b = 5.133 Å, c = 5.633 Å
α = 91.43°, β = 94.50°, γ = 110.23°
Space group P1 (No. 1)
Asymmetric unit:
Pa1 0.000 0.000 0.000 [1 per cell]
Cr1 0.888 0.440 0.516 [1 per cell]
O1 0.110 0.363 0.272 [1 per cell]
O2 0.114 0.334 0.733 [1 per cell]
O3 0.497 0.001 0.994 [1 per cell]
O4 0.536 0.192 0.484 [1 per cell]
O5 0.839 0.709 0.692 [1 per cell]
O6 0.893 0.674 0.257 [1 per cell]

Final energy: -0.28347 hartree per atom
Density: 5.5 g/cm³
Total magnetic moment: 1.0 μB per cell



Entry 2:
Entry from Alexandria via LeMat-Bulk: a relaxed structure of PaCrO2 (PBE with a Hubbard U).

a = 3.7761 Å, b = 3.7761 Å, c = 16.9211 Å
α = 90.00°, β = 90.00°, γ = 120.00°
Space group R-3m (No. 166, hexagonal axes)
Asymmetric unit:
Pa1 0.0000 0.0000 0.0000 [3 per cell]
Cr1 0.0000 0.0000 0.5000 [3 per cell]
O1 0.0000 0.0000 0.3802 [6 per cell]

Final energy: -0.32617 hartree per atom
Density: 7.5 g/cm³
Total magnetic moment: 14.6 μB per cell



Entry 3:
Entry from Alexandria via LeMat-Bulk: a relaxed structure of Pa2Cr2O7 (PBE with a Hubbard U).

a = 8.098 Å, b = 7.355 Å, c = 5.434 Å
α = 90.00°, β = 99.50°, γ = 90.00°
Space group C2/m (No. 12)
Asymmetric unit:
Pa1 0.231 0.000 0.007 [4 per cell]
Cr1 0.000 0.219 0.500 [4 per cell]
O1 0.000 0.500 0.000 [2 per cell]
O2 0.033 0.000 0.243 [4 per cell]
O3 0.212 0.247 0.755 [8 per cell]

Final energy: -0.33006 hartree per atom
Density: 7.1 g/cm³
Total magnetic moment: 16.0 μB per cell



Entry 4:
Entry from Alexandria via LeMat-Bulk: a relaxed structure of Pa2CrO7 (PBE with a Hubbard U).

a = 3.8101 Å, b = 3.8101 Å, c = 29.7522 Å
α = 90.00°, β = 90.00°, γ = 120.00°
Space group R-3m (No. 166, hexagonal axes)
Asymmetric unit:
Pa1 0.0000 0.0000 0.0707 [6 per cell]
Cr1 0.0000 0.0000 0.5000 [3 per cell]
O1 0.0000 0.0000 0.0000 [3 per cell]
O2 0.0000 0.0000 0.1514 [6 per cell]
O3 0.0000 0.0000 0.2772 [6 per cell]
O4 0.0000 0.0000 0.4331 [6 per cell]

Final energy: -0.32887 hartree per atom
Density: 8.3 g/cm³
Total magnetic moment: 5.9 μB per cell



Entry 5:
Entry from Alexandria via LeMat-Bulk: a relaxed structure of Pa2CrPbO8 (PBE with a Hubbard U).

a = 6.966 Å, b = 7.079 Å, c = 7.104 Å
α = 90.00°, β = 90.00°, γ = 90.00°
Space group Cmmm (No. 65)
Asymmetric unit:
Pa1 0.000 0.000 0.241 [4 per cell]
Cr1 0.000 0.500 0.000 [2 per cell]
Pb1 0.000 0.500 0.500 [2 per cell]
O1 0.000 0.177 0.500 [4 per cell]
O2 0.000 0.199 0.000 [4 per cell]
O3 0.194 0.500 0.217 [8 per cell]

Final energy: -0.31003 hartree per atom
Density: 8.1 g/cm³
Total magnetic moment: 4.9 μB per cell



Entry 6:
Entry from Alexandria via LeMat-Bulk: a relaxed structure of PaCrPb2O8 (PBE with a Hubbard U).

a = 7.613 Å, b = 7.613 Å, c = 7.223 Å
α = 90.00°, β = 90.00°, γ = 90.00°
Space group I-4m2 (No. 119)
Asymmetric unit:
Pa1 0.000 0.000 0.000 [2 per cell]
Cr1 0.000 0.500 0.250 [2 per cell]
Pb1 0.000 0.000 0.500 [2 per cell]
Pb2 0.000 0.500 0.750 [2 per cell]
O1 0.000 0.195 0.806 [8 per cell]
O2 0.000 0.325 0.390 [8 per cell]

Final energy: -0.25879 hartree per atom
Density: 6.5 g/cm³
Total magnetic moment: 0.0 μB per cell



Entry 7:
Entry from Alexandria via LeMat-Bulk: a relaxed structure of PaCr2PbO8 (PBE with a Hubbard U).

a = 7.312 Å, b = 7.312 Å, c = 6.499 Å
α = 90.00°, β = 90.00°, γ = 90.00°
Space group I-4m2 (No. 119)
Asymmetric unit:
Pa1 0.000 0.000 0.000 [2 per cell]
Cr1 0.000 0.000 0.500 [2 per cell]
Cr2 0.000 0.500 0.750 [2 per cell]
Pb1 0.000 0.500 0.250 [2 per cell]
O1 0.000 0.171 0.316 [8 per cell]
O2 0.000 0.300 0.915 [8 per cell]

Final energy: -0.27923 hartree per atom
Density: 6.4 g/cm³
Total magnetic moment: 6.0 μB per cell



Entry 8:
Entry from Alexandria via LeMat-Bulk: a relaxed structure of PaCr2PdO8 (PBE with a Hubbard U).

a = 7.021 Å, b = 7.021 Å, c = 6.580 Å
α = 90.00°, β = 90.00°, γ = 90.00°
Space group I-4m2 (No. 119)
Asymmetric unit:
Pa1 0.000 0.000 0.000 [2 per cell]
Cr1 0.000 0.000 0.500 [2 per cell]
Cr2 0.000 0.500 0.250 [2 per cell]
Pd1 0.000 0.500 0.750 [2 per cell]
O1 0.000 0.187 0.663 [8 per cell]
O2 0.000 0.289 0.097 [8 per cell]

Final energy: -0.27346 hartree per atom
Density: 5.8 g/cm³
Total magnetic moment: 6.0 μB per cell



Entry 9:
Entry from Alexandria via LeMat-Bulk: a relaxed structure of PaCrPd2O8 (PBE with a Hubbard U).

a = 6.741 Å, b = 6.741 Å, c = 6.972 Å
α = 90.00°, β = 90.00°, γ = 90.00°
Space group I-4m2 (No. 119)
Asymmetric unit:
Pa1 0.000 0.000 0.000 [2 per cell]
Cr1 0.000 0.500 0.750 [2 per cell]
Pd1 0.000 0.000 0.500 [2 per cell]
Pd2 0.000 0.500 0.250 [2 per cell]
O1 0.000 0.189 0.718 [8 per cell]
O2 0.000 0.325 0.032 [8 per cell]

Final energy: -0.24889 hartree per atom
Density: 6.5 g/cm³
Total magnetic moment: 6.2 μB per cell



Entry 10:
Entry from Alexandria via LeMat-Bulk: a relaxed structure of PmPaCr2O8 (PBE with a Hubbard U).

a = 7.212 Å, b = 7.212 Å, c = 6.508 Å
α = 90.00°, β = 90.00°, γ = 90.00°
Space group I-4m2 (No. 119)
Asymmetric unit:
Pm1 0.000 0.000 0.000 [2 per cell]
Pa1 0.000 0.500 0.250 [2 per cell]
Cr1 0.000 0.000 0.500 [2 per cell]
Cr2 0.000 0.500 0.750 [2 per cell]
O1 0.000 0.190 0.321 [8 per cell]
O2 0.000 0.324 0.945 [8 per cell]

Final energy: -0.30426 hartree per atom
Density: 6.0 g/cm³
Total magnetic moment: 8.0 μB per cell



Entry 11:
Entry from Alexandria via LeMat-Bulk: a relaxed structure of PmPaCrO6 (PBE with a Hubbard U).

a = 5.4380 Å, b = 5.4380 Å, c = 4.8059 Å
α = 90.00°, β = 90.00°, γ = 120.00°
Space group P312 (No. 149)
Asymmetric unit:
Pm1 0.0000 0.0000 0.0000 [1 per cell]
Pa1 0.6667 0.3333 0.5000 [1 per cell]
Cr1 0.3333 0.6667 0.0000 [1 per cell]
O1 0.0217 0.3829 0.2361 [6 per cell]

Final energy: -0.31119 hartree per atom
Density: 7.1 g/cm³
Total magnetic moment: 2.0 μB per cell



Entry 12:
Entry from Alexandria via LeMat-Bulk: a relaxed structure of PmPaCr2O6 (PBE with a Hubbard U).

a = 5.613 Å, b = 5.696 Å, c = 5.932 Å
α = 62.02°, β = 65.01°, γ = 60.59°
Space group P1 (No. 1)
Asymmetric unit:
Pm1 0.000 0.000 0.000 [1 per cell]
Pa1 0.507 0.507 0.475 [1 per cell]
Cr1 0.213 0.197 0.377 [1 per cell]
Cr2 0.714 0.716 0.860 [1 per cell]
O1 0.127 0.823 0.640 [1 per cell]
O2 0.294 0.565 0.213 [1 per cell]
O3 0.423 0.100 0.661 [1 per cell]
O4 0.598 0.891 0.153 [1 per cell]
O5 0.770 0.441 0.691 [1 per cell]
O6 0.903 0.334 0.176 [1 per cell]

Final energy: -0.31637 hartree per atom
Density: 6.8 g/cm³
Total magnetic moment: 8.0 μB per cell